# 1
The following is a DFT calculation (PBE) of Cs5Tl6Pb after structural relaxation.

```
Cs5Tl6Pb
1.0
-0.1422 -7.5139 6.6864
3.8346 -6.8850 -1.9201
9.2824 -0.3526 2.6691
Cs Tl Pb
5 6 1
direct
0.5000 0.7915 0.4171 Cs
0.5000 0.2085 0.5829 Cs
0.0000 0.3628 0.2743 Cs
0.0000 0.6372 0.7257 Cs
0.5000 0.5000 0.0000 Cs
0.8183 0.9553 0.2978 Tl
0.1817 0.0447 0.7022 Tl
0.6932 0.9473 0.0000 Tl
0.1817 0.7469 0.2978 Tl
0.3068 0.0527 0.0000 Tl
0.8183 0.2531 0.7022 Tl
0.0000 0.0000 0.0000 Pb
```

## Properties
calculated formation energy: -79.6 meV/atom
SG: No. 12

***

# 2
The following is a DFT calculation (PBE) of CsTl6Pb2 after structural relaxation.

```
CsTl6Pb2
1.0
-2.9269 3.7048 2.9530
2.6506 -1.5965 4.6302
7.3892 7.2240 -1.7393
Tl Cs Pb
6 1 2
direct
0.5000 0.0000 0.6884 Tl
0.0000 0.0000 0.5000 Tl
0.0000 0.5000 0.6884 Tl
0.0000 0.5000 0.3116 Tl
0.5000 0.0000 0.3116 Tl
0.5000 0.5000 0.5000 Tl
0.0000 0.0000 0.0000 Cs
0.5000 0.5000 0.8512 Pb
0.5000 0.5000 0.1488 Pb
```

## Properties
calculated formation energy: -16.9 meV/atom
relative energy among the computed polymorphs: 0.0 meV per atom
SG: No. 123

***

# 3
The following is a DFT calculation (PBE) of CsTl4Pb4 after structural relaxation.

```
CsTl4Pb4
1.0
-3.6444 -3.7875 -1.1630
6.9075 -4.5338 -6.8800
3.8611 -6.1500 7.9293
Pb Tl Cs
8 8 2
direct
0.4994 0.8522 0.4994 Pb
0.0006 0.6478 0.0006 Pb
0.5006 0.5006 0.8522 Pb
0.9994 0.0006 0.3522 Pb
0.4994 0.1478 0.5006 Pb
0.5006 0.4994 0.1478 Pb
0.9994 0.9994 0.6478 Pb
0.0006 0.3522 0.9994 Pb
0.5000 0.8173 0.1814 Tl
0.5000 0.1814 0.1827 Tl
0.0000 0.6827 0.3186 Tl
0.0000 0.6814 0.6827 Tl
0.0000 0.3173 0.6814 Tl
0.5000 0.8186 0.8173 Tl
0.0000 0.3186 0.3173 Tl
0.5000 0.1827 0.8186 Tl
0.5000 0.5000 0.5000 Cs
0.0000 0.0000 0.0000 Cs
```

## Properties
calculated formation energy: -21.0 meV/atom
SG: No. 87

***

# 4
The following is a DFT calculation (PBE) of CsTl2Pb4 after structural relaxation.

```
CsTl2Pb4
1.0
5.5996 0.0000 0.0000
2.7998 4.8494 0.0000
2.7998 1.6165 9.6893
Cs Tl Pb
1 2 4
direct
0.0000 0.0000 0.0000 Cs
0.2559 0.2559 0.2324 Tl
0.7441 0.7441 0.7676 Tl
0.5566 0.5566 0.3302 Pb
0.8564 0.8564 0.4308 Pb
0.4434 0.4434 0.6698 Pb
0.1436 0.1436 0.5692 Pb
```

## Properties
calculated formation energy: -54.2 meV/atom
relative energy among the computed polymorphs: 0.0 meV per atom
SG: No. 166

***

# 5
The following is a DFT calculation (PBE) of CsTl6Pb4 after structural relaxation.

```
CsTl6Pb4
1.0
-0.8243 4.9683 1.6992
0.6688 -2.8984 8.7991
7.5910 2.8162 -4.5516
Pb Tl Cs
4 6 1
direct
0.0000 0.3333 0.6667 Pb
0.5000 0.4273 0.2136 Pb
0.5000 0.7864 0.2136 Pb
0.5000 0.7864 0.5727 Pb
0.5000 0.5928 0.7964 Tl
0.5000 0.2036 0.7964 Tl
0.5000 0.2036 0.4072 Tl
0.0000 0.5332 0.0665 Tl
0.0000 0.9335 0.4668 Tl
0.0000 0.5332 0.4668 Tl
0.0000 0.0000 0.0000 Cs
```

## Properties
calculated formation energy: -13.0 meV/atom
SG: No. 187

***

# 6
The following is a DFT calculation (PBE) of Cs2Tl10Pb after structural relaxation.

```
Cs2Tl10Pb
1.0
-3.8757 3.6222 5.0230
7.1262 -5.7928 9.6758
7.5147 8.5867 -0.3938
Tl Cs Pb
20 4 2
direct
0.0000 0.5650 0.2284 Tl
0.7323 0.8101 0.9209 Tl
0.0000 0.4350 0.7716 Tl
0.2677 0.8101 0.9209 Tl
0.7323 0.1899 0.0791 Tl
0.0000 0.0650 0.2716 Tl
0.0000 0.6196 0.9570 Tl
0.0000 0.2992 0.3239 Tl
0.0000 0.8804 0.4570 Tl
0.0000 0.3804 0.0430 Tl
0.0000 0.9350 0.7284 Tl
0.0000 0.7008 0.6761 Tl
0.0000 0.2008 0.8239 Tl
0.7323 0.3101 0.5791 Tl
0.2677 0.1899 0.0791 Tl
0.2677 0.6899 0.4209 Tl
0.7323 0.6899 0.4209 Tl
0.0000 0.1196 0.5430 Tl
0.0000 0.7992 0.1761 Tl
0.2677 0.3101 0.5791 Tl
0.5000 0.5624 0.7498 Cs
0.5000 0.4376 0.2502 Cs
0.5000 0.9376 0.2498 Cs
0.5000 0.0624 0.7502 Cs
0.0000 0.5000 0.5000 Pb
0.0000 0.0000 0.0000 Pb
```

## Properties
calculated formation energy: -0.6 meV/atom
SG: No. 55